*i*
This record from Alexandria via LeMat-Bulk describes crystalline KReOs2 at its relaxed geometry. The functional is PBE-GGA.

Values from the calculation:
mass density: 14.426 Mg/m³
total moment: 0.000 μB/atom
Fermi-level density of states: 0.93 states/eV/atom

a b c (Å): 10.4968 10.4968 10.4968
angles (deg): 15.25 15.25 15.25
Closest atoms and distances in Å follow each position.
Fractional positions:
Re 0.5152 0.5152 0.5152  3 Os 2.67, 6 Re 2.79
Os 0.9863 0.9863 0.9863  9 Os 2.69-2.79
Os 0.2501 0.2501 0.2501  3 Re 2.67, 9 Os 2.69-2.79
K 0.7484 0.7484 0.7484  6 K 2.79


*ii*
This record from Alexandria via LeMat-Bulk describes crystalline KReOs2 at its relaxed geometry. The functional is PBE-GGA.

Values from the calculation:
mass density: 15.495 Mg/m³
total moment: 0.000 μB/atom
Fermi-level density of states: 0.58 states/eV/atom

a b c (Å): 4.5112 4.5112 4.5112
angles (deg): 60.00 60.00 60.00
Closest atoms and distances in Å follow each position.
Fractional positions:
Re 0.7500 0.7500 0.7500  4 K 2.76, 4 Os 2.76
K 0.5000 0.5000 0.5000  4 Re 2.76, 4 Os 2.76
Os 0.2500 0.2500 0.2500  4 Os 2.76, 4 K 2.76
Os 0.0000 0.0000 0.0000  4 Re 2.76, 4 Os 2.76


*iii*
This record from Alexandria via LeMat-Bulk describes crystalline KReOs2 at its relaxed geometry. The functional is PBE-GGA.

Values from the calculation:
mass density: 12.116 Mg/m³
total moment: 0.000 μB/atom
Fermi-level density of states: 0.77 states/eV/atom

a b c (Å): 3.8422 2.7155 8.4256
angles (deg): 70.81 90.00 90.00
Closest atoms and distances in Å follow each position.
Fractional positions:
Re 0.5000 0.2500 0.2500  8 Os 2.67, 2 Re 2.72
K 0.5000 0.7500 0.7500  2 K 2.72
Os 0.0000 0.9127 0.0906  3 Os 2.54-2.72, 4 Re 2.67
Os 0.0000 0.5873 0.4094  3 Os 2.54-2.72, 4 Re 2.67


Most stable of them? *i*.


*i*
This record from Alexandria via LeMat-Bulk describes crystalline KReOs2 at its relaxed geometry. The functional is PBE-GGA.

Values from the calculation:
mass density: 15.002 Mg/m³
total moment: 0.005 μB/atom
Fermi-level density of states: 1.40 states/eV/atom

a b c (Å): 2.7372 4.9542 4.9445
angles (deg): 90.00 90.00 90.00
Closest atoms and distances in Å follow each position.
Fractional positions:
Os 0.0000 0.0000 0.0000  6 Os 2.74-2.83, 4 Re 2.83
Os 0.5000 0.5000 0.0000  6 Os 2.74-2.83, 4 K 2.83
K 0.0000 0.5000 0.5000  2 K 2.74, 4 Os 2.83, 4 Re 2.83
Re 0.5000 0.0000 0.5000  2 Re 2.74, 4 Os 2.83, 4 K 2.83


*ii*
This record from Alexandria via LeMat-Bulk describes crystalline KReOs2 at its relaxed geometry. The functional is PBE-GGA.

Values from the calculation:
mass density: 14.830 Mg/m³
total moment: 0.095 μB/atom
Fermi-level density of states: 1.18 states/eV/atom

a b c (Å): 6.6888 5.2345 2.6004
angles (deg): 89.96 67.19 122.86
Closest atoms and distances in Å follow each position.
Fractional positions:
K 0.5000 0.5000 0.0000  2 K 2.60
Os 0.0000 0.0000 0.0000  2 Os 2.60
Os 0.5000 0.0000 0.5000  2 Os 2.60
Re 0.0000 0.5000 0.5000  2 Re 2.60


Most stable of them? *ii*.